Record 1
This record from Alexandria describes a relaxed LiMn2W crystal. The functional is PBE.

As for the symmetry: C2/m, No. 12. The calculation puts the formation energy at 37.8 kJ/mol of atoms. The crystal system is monoclinic.

Cell lengths 4.875, 4.888, 2.546 Å; angles 78.66, 82.64, 117.74 degrees
Fractional positions:
1 Li 0.500 0.500 0.000
2 Mn 0.000 0.000 0.000
3 Mn 0.500 0.000 0.500
4 W 0.000 0.500 0.500

Record 2
This record from Alexandria describes a relaxed CaY2GeN4 crystal. The functional is PBE.

As for the symmetry: Cmcm, No. 63. The uncorrected formation energy is -1.044 eV/atom. The crystal system is orthorhombic.

Cell lengths 3.382, 6.114, 11.819 Å; angles 90.00, 90.00, 106.06 degrees
Fractional positions:
1 Ca 0.100 0.200 0.750
2 Ca 0.900 0.800 0.250
3 Y 0.370 0.740 0.538
4 Y 0.630 0.260 0.038
5 Y 0.630 0.260 0.462
6 Y 0.370 0.740 0.962
7 Ge 0.828 0.657 0.750
8 Ge 0.172 0.343 0.250
9 N 0.263 0.525 0.124
10 N 0.737 0.475 0.624
11 N 0.737 0.475 0.876
12 N 0.263 0.525 0.376
13 N 0.000 0.000 0.500
14 N 0.000 0.000 0.000
15 N 0.424 0.848 0.750
16 N 0.576 0.152 0.250

Number 1: uncorrected energy -7.91 eV/atom. Number 2: uncorrected energy -7.65 eV/atom.